The following is a GGA+U calculation of a geometry-optimized RuWNO2 structure, from the Alexandria database.

```
RuWNO2
1.0
-2.921 2.613 0.311
-2.562 -2.718 -1.227
-0.615 -1.142 3.815
Ru O W N
1 2 1 1
Direct
0.500 0.500 0.500
0.000 0.500 0.000
0.500 0.000 0.000
0.000 0.000 0.000
0.000 0.000 0.500
```

Computed properties:
* final energy: -7.026 eV per atom